(1)
! PaZnP2Ir5 PBE relaxed; values from VASP
! Spin magnetization, μB/atom: 0.000
! DOS at the Fermi energy, states/eV per atom: 0.4043
&SYSTEM
  ibrav = 0, nat = 9, ntyp = 4
/
ATOMIC_SPECIES
Ir 192.22 Ir.upf
P 30.97 P.upf
Zn 65.41 Zn.upf
Pa 231.04 Pa.upf
CELL_PARAMETERS angstrom
-3.7198 0.1254 1.2360
0.7101 -2.9870 2.4400
2.8983 7.2160 7.9904
ATOMIC_POSITIONS crystal
Ir 0.0000 0.5000 0.8152
P 0.5000 0.5000 0.7041
Ir 0.5000 0.5000 0.5000
Ir 0.5000 0.0000 0.8152
Ir 0.5000 0.0000 0.1848
P 0.5000 0.5000 0.2959
Zn 0.0000 0.0000 0.5000
Pa 0.0000 0.0000 0.0000
Ir 0.0000 0.5000 0.1848

(2)
! PIrPb3 PBE relaxed; values from VASP
! Spin magnetization, μB/atom: 0.000
! DOS at the Fermi energy, states/eV per atom: 0.6729
! Polymorph energy (0 for the lowest one), meV per atom: 654.7
&SYSTEM
  ibrav = 0, nat = 5, ntyp = 3
/
ATOMIC_SPECIES
Pb 207.20 Pb.upf
Ir 192.22 Ir.upf
P 30.97 P.upf
CELL_PARAMETERS angstrom
-3.8492 1.3208 3.3320
-1.1927 -5.0829 0.6370
3.3800 -0.2894 4.0194
ATOMIC_POSITIONS crystal
Pb 0.0000 0.5000 0.0000
Ir 0.5000 0.5000 0.5000
P 0.0000 0.0000 0.0000
Pb 0.5000 0.0000 0.0000
Pb 0.0000 0.0000 0.5000

(3)
! P2IrPb2 PBE relaxed; values from VASP
! Spin magnetization, μB/atom: 0.000
! DOS at the Fermi energy, states/eV per atom: 1.0753
! Polymorph energy (0 for the lowest one), meV per atom: 1003.1
&SYSTEM
  ibrav = 0, nat = 10, ntyp = 3
/
ATOMIC_SPECIES
Pb 207.20 Pb.upf
P 30.97 P.upf
Ir 192.22 Ir.upf
CELL_PARAMETERS angstrom
-5.4718 2.3963 4.2292
-4.6463 -4.4495 -3.4903
0.8113 -3.0073 2.7537
ATOMIC_POSITIONS crystal
Pb 0.1457 0.3543 0.0000
P 0.6900 0.8100 0.5000
P 0.3100 0.1900 0.5000
Ir 0.5000 0.5000 0.0000
Pb 0.3543 0.8543 0.0000
P 0.8100 0.3100 0.5000
Pb 0.6457 0.1457 0.0000
Pb 0.8543 0.6457 0.0000
P 0.1900 0.6900 0.5000
Ir 0.0000 0.0000 0.0000

(4)
! PIrPb3 PBE relaxed; values from VASP
! Spin magnetization, μB/atom: 0.000
! DOS at the Fermi energy, states/eV per atom: 0.1605
! Polymorph energy (0 for the lowest one), meV per atom: 0.0
&SYSTEM
  ibrav = 0, nat = 5, ntyp = 3
/
ATOMIC_SPECIES
Pb 207.20 Pb.upf
P 30.97 P.upf
Ir 192.22 Ir.upf
CELL_PARAMETERS angstrom
-0.7793 4.7902 2.0137
-4.3656 0.5008 -2.8808
-2.8182 -2.1004 3.9056
ATOMIC_POSITIONS crystal
Pb 0.5000 0.0000 0.0000
P 0.5000 0.5000 0.5000
Ir 0.0000 0.0000 0.0000
Pb 0.0000 0.5000 0.0000
Pb 0.0000 0.0000 0.5000

(5)
! PIrPb4 PBE relaxed; values from VASP
! Spin magnetization, μB/atom: 0.001
! DOS at the Fermi energy, states/eV per atom: 1.0930
&SYSTEM
  ibrav = 0, nat = 6, ntyp = 3
/
ATOMIC_SPECIES
Pb 207.20 Pb.upf
P 30.97 P.upf
Ir 192.22 Ir.upf
CELL_PARAMETERS angstrom
0.0000 4.3695 4.3695
4.3695 0.0000 4.3695
4.3695 4.3695 0.0000
ATOMIC_POSITIONS crystal
Pb 0.3755 0.3755 0.8736
P 0.0000 0.0000 0.0000
Ir 0.7500 0.7500 0.7500
Pb 0.3755 0.3755 0.3755
Pb 0.8736 0.3755 0.3755
Pb 0.3755 0.8736 0.3755

(6)
! P2IrPb2 PBE relaxed; values from VASP
! Spin magnetization, μB/atom: 0.000
! DOS at the Fermi energy, states/eV per atom: 0.3446
! Polymorph energy (0 for the lowest one), meV per atom: 388.6
&SYSTEM
  ibrav = 0, nat = 5, ntyp = 3
/
ATOMIC_SPECIES
Pb 207.20 Pb.upf
P 30.97 P.upf
Ir 192.22 Ir.upf
CELL_PARAMETERS angstrom
3.3344 0.0000 0.0000
0.0000 3.3344 0.0000
1.6672 1.6672 9.5944
ATOMIC_POSITIONS crystal
Pb 0.4063 0.4063 0.1875
Pb 0.5937 0.5937 0.8125
P 0.7500 0.2500 0.5000
Ir 0.0000 0.0000 0.0000
P 0.2500 0.7500 0.5000

(7)
! P3IrPb PBE relaxed; values from VASP
! Spin magnetization, μB/atom: 0.000
! DOS at the Fermi energy, states/eV per atom: 1.3068
! Polymorph energy (0 for the lowest one), meV per atom: 0.0
&SYSTEM
  ibrav = 0, nat = 5, ntyp = 3
/
ATOMIC_SPECIES
Pb 207.20 Pb.upf
P 30.97 P.upf
Ir 192.22 Ir.upf
CELL_PARAMETERS angstrom
4.7280 0.0000 0.0000
0.0000 4.7280 0.0000
0.0000 0.0000 4.7280
ATOMIC_POSITIONS crystal
Pb 0.5000 0.5000 0.5000
P 0.5000 0.0000 0.0000
P 0.0000 0.5000 0.0000
Ir 0.0000 0.0000 0.0000
P 0.0000 0.0000 0.5000

(8)
! PIrPb PBE relaxed; values from VASP
! Spin magnetization, μB/atom: 0.000
! DOS at the Fermi energy, states/eV per atom: 0.4807
&SYSTEM
  ibrav = 0, nat = 3, ntyp = 3
/
ATOMIC_SPECIES
Ir 192.22 Ir.upf
Pb 207.20 Pb.upf
P 30.97 P.upf
CELL_PARAMETERS angstrom
6.6972 -0.0211 -0.0201
5.2642 4.1402 0.0201
-6.0327 -1.9086 2.1949
ATOMIC_POSITIONS crystal
Ir 0.9647 0.9647 0.0000
Pb 0.6523 0.6523 0.0000
P 0.3829 0.3829 0.0000

no.,formation enthalpy at 0 K (eV/atom),calculated volume (Å³ per atom)
1,-0.43,19.05
2,1.10,29.10
3,0.92,22.27
4,0.45,29.01
5,1.07,27.81
6,0.31,21.34
7,0.57,21.14
8,0.02,20.35